{
  "formula": "TbErBeAg",
  "functional": "GGA-PBE",
  "state": "optimized geometry",
  "delta_e_f_kcal_per_mol_atoms": -1.53,
  "lattice_angstrom": [[0.0000, 3.5359, 3.5359], [3.5359, 0.0000, 3.5359], [3.5359, 3.5359, 0.0000]],
  "species": ["Tb", "Er", "Be", "Ag"],
  "fractional_positions": [[0.0000, 0.0000, 0.0000], [0.5000, 0.5000, 0.5000], [0.7500, 0.7500, 0.7500], [0.2500, 0.2500, 0.2500]]
}

***

{
  "formula": "HoTm2In",
  "functional": "GGA-PBE",
  "state": "optimized geometry",
  "delta_e_f_kcal_per_mol_atoms": -5.37,
  "polymorph_energy_ev_per_atom": 0.0275,
  "lattice_angstrom": [[3.5438, 0.0000, 0.0000], [0.0000, 3.5438, 0.0000], [0.0000, 0.0000, 9.0711]],
  "species": ["Ho", "Tm", "Tm", "In"],
  "fractional_positions": [[0.0000, 0.0000, 0.0000], [0.5000, 0.5000, 0.2712], [0.5000, 0.5000, 0.7288], [0.0000, 0.0000, 0.5000]]
}

***

{
  "formula": "NaHfZnH2",
  "functional": "GGA-PBE",
  "state": "optimized geometry",
  "polymorph_energy_ev_per_atom": 0.0000,
  "lattice_angstrom": [[3.9154, 0.0000, 0.0000], [0.0000, 3.9154, 0.0000], [0.0000, 0.0000, 4.9185]],
  "species": ["Na", "Hf", "Zn", "H", "H"],
  "fractional_positions": [[0.0000, 0.0000, 0.0000], [0.5000, 0.5000, 0.5000], [0.0000, 0.0000, 0.5000], [0.0000, 0.5000, 0.0000], [0.5000, 0.0000, 0.0000]]
}

***

{
  "formula": "KHg2W",
  "functional": "GGA-PBE",
  "state": "optimized geometry",
  "delta_e_f_kcal_per_mol_atoms": 26.00,
  "polymorph_energy_ev_per_atom": 0.4399,
  "lattice_angstrom": [[-2.8400, 2.8400, 9.1990], [2.8400, -2.8400, 9.1990], [2.8400, 2.8400, -9.1990]],
  "species": ["K", "K", "Hg", "Hg", "Hg", "Hg", "W", "W"],
  "fractional_positions": [[0.0000, 0.0000, 0.0000], [0.7500, 0.2500, 0.5000], [0.2884, 0.6250, 0.1634], [0.3750, 0.5384, 0.6634], [0.4616, 0.1250, 0.8366], [0.8750, 0.7116, 0.3366], [0.2500, 0.7500, 0.5000], [0.5000, 0.5000, 0.0000]]
}

***

{
  "formula": "Mg2SiAu8",
  "functional": "GGA-PBE",
  "state": "optimized geometry",
  "formation_energy_uncorrected_mev_per_atom": -277,
  "lattice_angstrom": [[-2.3234, 3.0558, 6.9836], [2.3234, -3.0558, 6.9836], [2.3234, 3.0558, -6.9836]],
  "species": ["Mg", "Mg", "Si", "Au", "Au", "Au", "Au", "Au", "Au", "Au", "Au"],
  "fractional_positions": [[0.1870, 0.1870, 0.0000], [0.8130, 0.8130, 0.0000], [0.5000, 0.5000, 0.0000], [0.1025, 0.3663, 0.7362], [0.2455, 0.0000, 0.2455], [0.3100, 0.8100, 0.5000], [0.3700, 0.6337, 0.7362], [0.6300, 0.3663, 0.2638], [0.6900, 0.1900, 0.5000], [0.7545, 0.0000, 0.7545], [0.8975, 0.6337, 0.2638]]
}

***

Here are the calculated V numbers, same order: 88.4; 113.9; 75.4; 296.8; 198.3 (Å³/cell).
Here are the calculated energy numbers, same order: -4.0090; -4.2976; -3.0834; -2.5360; -3.4434 (eV per atom).
Here are the calculated total moment numbers, same order: 0.0; 0.0; 0.0; 2.9; 0.0 (μB/f.u.).